Entry 1:
An optimized crystal structure of Sm3MgCd2, computed with PBE.

Output
The polymorph energy (0 for the lowest one) comes out at 0.004 eV/atom. The value obtained for the formation energy is -0.24 eV/atom. The value obtained for the uncorrected energy is -3.175 eV/atom. As for the symmetry: P4/mmm.

Structure (extended XYZ):
```
6
Lattice="3.8346 0.0000 0.0000 0.0000 3.8346 0.0000 0.0000 0.0000 11.4045" Properties=species:S:1:pos:R:3 pbc="T T T"
Cd 1.9173 1.9173 1.9272
Cd 1.9173 1.9173 9.4773
Mg 1.9173 1.9173 5.7022
Sm 0.0000 0.0000 0.0000
Sm 0.0000 0.0000 3.7904
Sm 0.0000 0.0000 7.6140
```



Entry 2:
An optimized crystal structure of Pr2Y6HoSc3, computed with PBE.

Output
The value obtained for the formation energy is 0.05 eV/atom. The value obtained for the uncorrected energy is -5.940 eV/atom. As for the symmetry: C2/m.

Structure (extended XYZ):
```
12
Lattice="6.1147 -0.0005 0.0021 -3.0563 5.2961 0.0021 -1.0231 -1.7715 11.4001" Properties=species:S:1:pos:R:3 pbc="T T T"
Y 3.0528 1.7647 8.4187
Y 2.0408 3.5336 2.9848
Y -1.0175 1.7594 2.9856
Y -0.0055 -0.0095 8.4194
Y 2.0324 -0.0021 2.9856
Y 0.0029 3.5261 8.4187
Sc 1.0176 1.7620 5.7021
Sc -2.0440 3.5303 5.7021
Sc 4.0793 -0.0062 5.7021
Pr -0.0010 3.5315 0.0021
Pr 3.0594 1.7640 0.0021
Ho 0.0000 0.0000 0.0000
```



Entry 3:
An optimized crystal structure of K4TeMo, computed with PBE.

Output
The value obtained for the uncorrected energy is -2.316 eV/atom. The value obtained for the uncorrected formation energy is 745 meV/atom. As for the symmetry: F-43m.

Structure (extended XYZ):
```
6
Lattice="5.4118 0.5387 4.5787 1.6981 6.3243 2.7681 -1.2724 1.3321 6.8665" Properties=species:S:1:pos:R:3 pbc="T T T"
K 3.0393 6.2572 6.7100
K 1.5388 3.7356 8.7802
K 2.1816 3.0627 5.3118
K 4.9152 3.3348 7.6246
Mo 4.3781 6.1464 10.6600
Te 0.0000 0.0000 0.0000
```



Entry 4:
An optimized crystal structure of KVHPb2, computed with PBE.

Output
The value obtained for the uncorrected energy is -2.245 eV/atom. As for the symmetry: P4/mmm.

Structure (extended XYZ):
```
5
Lattice="-4.8712 -1.5356 3.4624 3.0110 0.0240 4.2467 -1.2687 5.9763 0.8657" Properties=species:S:1:pos:R:3 pbc="T T T"
Pb -0.6343 2.9881 0.4329
Pb -2.4356 -0.7678 1.7312
K 0.0000 0.0000 0.0000
H -1.5644 2.2323 4.2874
V 1.5055 0.0120 2.1234
```



Entry 5:
An optimized crystal structure of ZrAlTc2, computed with PBE.

Output
The value obtained for the formation energy is -0.17 eV/atom. The value obtained for the uncorrected energy is -8.424 eV/atom. As for the symmetry: Pmm2.

Structure (extended XYZ):
```
4
Lattice="2.9668 0.0000 0.0000 0.0000 4.0568 0.0000 0.0000 0.0000 5.4614" Properties=species:S:1:pos:R:3 pbc="T T T"
Al 1.4834 2.0284 4.1892
Zr 0.0000 0.0000 2.6855
Tc 1.4834 2.0284 1.2873
Tc 0.0000 0.0000 0.0302
```



Entry 6:
An optimized crystal structure of DyTlTe2Au, computed with PBE.

Output
The value obtained for the uncorrected energy is -3.926 eV/atom. The value obtained for the uncorrected formation energy is -620 meV/atom. As for the symmetry: P2/c.

Structure (extended XYZ):
```
10
Lattice="-4.6446 0.7944 1.0868 -2.3616 -3.2411 -7.7235 -0.1537 -6.7839 4.3016" Properties=species:S:1:pos:R:3 pbc="T T T"
Te -5.0153 -8.3595 -0.9129
Te -2.1446 -0.8712 -1.4221
Te -3.3618 -5.2372 -3.4327
Te -3.7981 -3.9935 1.0976
Au 0.0000 0.0000 0.0000
Au -0.0769 -3.3920 2.1508
Dy -2.4321 -4.6917 3.7683
Dy -2.3662 -1.2979 1.6201
Tl -2.0872 -6.5732 -0.4504
Tl -5.0727 -2.6574 -1.8846
```



Entry 7:
An optimized crystal structure of MgCu2, computed with PBE.

Output
The value obtained for the formation energy is -0.04 eV/atom. The value obtained for the uncorrected energy is -3.301 eV/atom. As for the symmetry: C2/m.

Structure (extended XYZ):
```
6
Lattice="1.5323 4.7985 -0.0273 -1.5323 4.7985 -0.0273 0.0000 2.2565 5.8655" Properties=species:S:1:pos:R:3 pbc="T T T"
Cu 0.0000 9.3158 3.1763
Cu 0.0000 6.2104 4.2665
Cu 0.0000 2.5377 2.6346
Cu 0.0000 5.6432 1.5443
Mg 0.0000 3.5333 5.1780
Mg 0.0000 8.3203 0.6329
```



Entry 8:
An optimized crystal structure of SrIn3Ni, computed with PBE.

Output
The value obtained for the formation energy is -0.31 eV/atom. The value obtained for the uncorrected energy is -3.446 eV/atom. As for the symmetry: Pnma.

Structure (extended XYZ):
```
20
Lattice="4.5138 0.0000 0.0000 0.0000 9.0588 0.0000 0.0000 0.0000 11.8851" Properties=species:S:1:pos:R:3 pbc="T T T"
Ni 3.3854 8.1337 4.2227
Ni 1.1285 0.9251 7.6625
Ni 3.3854 3.6043 1.7199
Ni 1.1285 5.4545 10.1653
In 3.3854 5.6382 3.3835
In 3.3854 1.2071 9.3356
In 3.3854 4.0101 10.9207
In 1.1285 7.8518 2.5495
In 1.1285 0.5193 4.9781
In 1.1285 7.9501 9.3261
In 1.1285 3.3224 3.3931
In 3.3854 1.1088 2.5591
In 1.1285 3.4206 8.5016
In 3.3854 8.5396 6.9071
In 1.1285 5.0487 0.9645
In 3.3854 5.7365 8.4921
Sr 1.1285 1.7102 11.8675
Sr 3.3854 2.8192 5.9250
Sr 1.1285 6.2396 5.9602
Sr 3.3854 7.3487 0.0176
```



Entry 9:
An optimized crystal structure of La4Er3Th2, computed with PBE.

Output
The value obtained for the formation energy is 0.11 eV/atom. The value obtained for the uncorrected energy is -5.247 eV/atom. As for the symmetry: C2/c.

Structure (extended XYZ):
```
18
Lattice="-0.6309 -4.6415 -4.1122 8.5198 -4.9718 2.5085 -2.4432 -7.2271 6.7372" Properties=species:S:1:pos:R:3 pbc="T T T"
Th 0.3884 -8.8904 0.8906
Th 1.7451 -10.8872 3.3429
Th 3.7006 -5.9532 1.7907
Th 5.0574 -7.9500 4.2430
Er -0.8631 -6.6382 -1.6907
Er 3.3453 -13.0678 5.7896
Er 2.1004 -3.7727 -0.6561
Er 6.3088 -10.2023 6.8243
Er 3.7462 -9.3376 1.0832
Er 1.6995 -7.5028 4.0504
La 0.1786 -5.3552 1.7002
La 2.5149 -7.1305 -1.3787
La 2.9308 -9.7099 6.5122
La 5.2671 -11.4852 3.4333
La -1.2211 -12.1214 2.6137
La 6.6668 -4.7190 2.5199
La 7.0260 -8.1690 1.6103
La -1.5803 -8.6714 3.5232
```



Entry 10:
An optimized crystal structure of SmMg2Al, computed with PBE.

Output
The polymorph energy (0 for the lowest one) comes out at 0.000 eV/atom. The value obtained for the formation energy is -0.21 eV/atom. The value obtained for the uncorrected energy is -3.119 eV/atom. As for the symmetry: P4/mmm.

Structure (extended XYZ):
```
4
Lattice="-2.3974 2.9524 -2.9788 -3.8299 -1.9571 1.1426 -0.5085 2.9286 3.3119" Properties=species:S:1:pos:R:3 pbc="T T T"
Mg -0.2543 1.4643 1.6560
Mg -1.9150 -0.9786 0.5713
Al -3.3679 1.9619 0.7378
Sm -1.1987 1.4762 -1.4894
```



Entry 11:
An optimized crystal structure of Li2AlAu2, computed with PBE.

Output
The polymorph energy (0 for the lowest one) comes out at 0.000 eV/atom. The value obtained for the formation energy is -0.52 eV/atom. The value obtained for the uncorrected energy is -3.344 eV/atom. As for the symmetry: C2/m.

Structure (extended XYZ):
```
10
Lattice="-0.5554 -2.6857 3.2791 -2.1624 -3.7849 -0.6798 4.9897 -9.3312 -4.0109" Properties=species:S:1:pos:R:3 pbc="T T T"
Au -0.0515 -3.8151 1.0458
Au 2.3233 -11.9866 -2.4574
Au 0.6320 -6.7710 1.5270
Au 1.6398 -9.0307 -2.9386
Al 2.7850 -9.9590 -0.7186
Al -0.5132 -5.8427 -0.6930
Li 2.0487 -7.0077 -1.2126
Li 4.0768 -10.2246 -3.5038
Li -1.8050 -5.5772 2.0922
Li 0.2231 -8.7940 -0.1989
```



Entry 12:
An optimized crystal structure of Er8SiS6, computed with PBE.

Output
The value obtained for the uncorrected energy is -5.893 eV/atom. The value obtained for the uncorrected formation energy is -1447 meV/atom. As for the symmetry: P-3.

Structure (extended XYZ):
```
15
Lattice="3.8788 0.0000 0.0000 0.0000 8.6275 -4.9811 0.0000 0.0000 9.9622" Properties=species:S:1:pos:R:3 pbc="T T T"
Er 0.9870 0.2802 6.9255
Er 2.8918 8.3473 -1.9445
Er 0.9773 5.7517 0.0000
Er 0.9870 2.4897 1.7609
Er 2.8918 2.7699 -1.2757
Er 2.8918 6.1378 3.2201
Er 2.9016 2.8758 4.9811
Er 0.9870 5.8576 6.2568
Si 1.9394 0.0000 0.0000
S 2.9109 5.6189 -1.9162
S 2.9109 7.4775 0.8432
S 0.9679 3.0086 6.8973
S 2.9109 4.1585 1.0731
S 0.9679 1.1500 4.1379
S 0.9679 4.4690 3.9080
```



Entry 13:
An optimized crystal structure of IrAuNF, computed with PBE.

Output
The polymorph energy (0 for the lowest one) comes out at 0.275 eV/atom. The value obtained for the uncorrected energy is -5.394 eV/atom. The value obtained for the uncorrected formation energy is 190 meV/atom. As for the symmetry: Cm.

Structure (extended XYZ):
```
8
Lattice="-0.4000 -1.3368 -3.2263 3.6744 0.0935 -0.4943 1.0671 -7.2292 6.5644" Properties=species:S:1:pos:R:3 pbc="T T T"
Au 2.3900 -5.1416 2.8805
Au 0.0192 -1.5737 -0.1546
F 1.7464 -3.3791 -1.5700
F 0.4428 -7.0404 1.9594
N 2.5766 -7.5748 3.8075
N 0.2059 -4.0069 0.7724
Ir 0.7433 -7.6836 4.0719
Ir 2.0470 -4.0222 0.5426
```



Entry 14:
An optimized crystal structure of Ga5Fe10Cu, computed with PBE.

Output
The value obtained for the formation energy is -0.04 eV/atom. The value obtained for the uncorrected energy is -6.536 eV/atom. As for the symmetry: I422.

Structure (extended XYZ):
```
16
Lattice="-0.9968 -2.1161 -3.9766 4.6998 -5.0454 -1.1695 -4.3108 -5.3616 1.2573" Properties=species:S:1:pos:R:3 pbc="T T T"
Ga -0.4984 -1.0581 -1.9883
Ga 1.2487 -4.2612 -2.0599
Ga -2.3303 -5.4274 -3.2185
Ga -1.3582 -7.2039 0.1595
Ga 1.2241 -8.1538 -2.6586
Fe 0.7199 -2.4571 -0.2033
Fe 1.7289 -6.1201 -3.8750
Fe -0.8265 -9.0018 -1.6856
Fe -1.0636 -3.5663 -1.8578
Fe -0.3039 -6.2616 -1.9444
Fe -2.8380 -7.4671 -2.0135
Fe -2.5339 -5.2232 -0.5921
Fe 2.4273 -6.2358 -1.2968
Fe 0.1945 -5.2035 0.0439
Fe -0.0455 -10.0210 -4.0308
Cu 0.0000 0.0000 0.0000
```



Entry 15:
An optimized crystal structure of SbMo2P, computed with PBE.

Output
The polymorph energy (0 for the lowest one) comes out at 0.096 eV/atom. The value obtained for the uncorrected energy is -7.832 eV/atom. The value obtained for the uncorrected formation energy is -33 meV/atom. As for the symmetry: P4/mmm.

Structure (extended XYZ):
```
4
Lattice="-0.9651 -0.3951 2.9577 -2.2815 -1.9058 -0.9991 4.0150 -5.1338 0.6243" Properties=species:S:1:pos:R:3 pbc="T T T"
Sb 0.3842 -3.7174 1.2915
Mo 3.1735 -4.0578 0.4935
Mo 0.8415 -1.0760 0.1309
P -1.6233 -1.1505 0.9793
```



Entry 16:
An optimized crystal structure of Pm4Ho5Sc, computed with PBE.

Output
The polymorph energy (0 for the lowest one) comes out at 0.032 eV/atom. The value obtained for the formation energy is 0.22 eV/atom. The value obtained for the uncorrected energy is -4.602 eV/atom. As for the symmetry: I4mm.

Structure (extended XYZ):
```
10
Lattice="5.8131 0.0000 0.0000 2.9066 7.5265 0.0000 2.9066 0.0000 7.5265" Properties=species:S:1:pos:R:3 pbc="T T T"
Pm 5.4995 5.1036 2.4227
Pm 8.4060 5.1038 5.1036
Pm 2.5929 2.4227 2.4229
Pm 5.4995 2.4229 5.1038
Ho 3.9400 0.0000 0.0000
Ho 8.4932 2.8049 7.5264
Ho 2.6801 4.7216 0.0002
Ho 5.5866 7.5264 4.7216
Ho 5.5866 0.0002 2.8049
Sc 1.1869 0.0000 0.0000
```



Entry 17:
An optimized crystal structure of Li2CdCo, computed with PBE.

Output
The value obtained for the formation energy is 0.18 eV/atom. The value obtained for the uncorrected energy is -2.786 eV/atom. As for the symmetry: P4mm.

Structure (extended XYZ):
```
4
Lattice="3.1277 0.0000 0.0000 0.0000 3.1277 0.0000 0.0000 0.0000 6.2972" Properties=species:S:1:pos:R:3 pbc="T T T"
Cd 0.0000 0.0000 3.2718
Co 1.5639 1.5639 4.8474
Li 0.0000 0.0000 6.1467
Li 1.5639 1.5639 1.4772
```



Entry 18:
An optimized crystal structure of GaBiPdRh2, computed with PBE.

Output
The polymorph energy (0 for the lowest one) comes out at 0.771 eV/atom. The value obtained for the formation energy is 1.02 eV/atom. The value obtained for the uncorrected energy is -4.337 eV/atom. As for the symmetry: P4/mmm.

Structure (extended XYZ):
```
5
Lattice="5.0083 0.0000 0.0000 0.0000 5.0429 0.0000 0.0000 0.0000 5.0083" Properties=species:S:1:pos:R:3 pbc="T T T"
Ga 2.5042 2.5215 2.5042
Rh 0.0000 0.0000 2.5042
Rh 2.5042 0.0000 0.0000
Pd 0.0000 2.5215 0.0000
Bi 0.0000 0.0000 0.0000
```



Entry 19:
An optimized crystal structure of PaAgSnO, computed with PBE.

Output
The value obtained for the uncorrected energy is -6.679 eV/atom. The value obtained for the uncorrected formation energy is -1352 meV/atom. As for the symmetry: P4/nmm.

Structure (extended XYZ):
```
8
Lattice="-3.3974 -2.1621 -0.4770 2.2130 -3.3434 -0.6075 -0.1625 -1.8024 9.3279" Properties=species:S:1:pos:R:3 pbc="T T T"
Pa -1.7201 -1.3176 0.9857
Pa 0.9653 -3.2376 7.8000
O -0.5922 -2.7528 -0.5422
O 0.0000 0.0000 0.0000
Sn -1.8142 -2.3620 6.3906
Sn 1.0595 -2.1932 2.3950
Ag -0.6735 -3.6540 4.1217
Ag -0.0813 -0.9012 4.6639
```



Entry 20:
An optimized crystal structure of P2IrSe, computed with PBE.

Output
The value obtained for the uncorrected energy is -5.813 eV/atom. The value obtained for the uncorrected formation energy is -22 meV/atom. As for the symmetry: Cm.

Structure (extended XYZ):
```
8
Lattice="-2.2738 5.7796 -3.8885 -2.9928 -0.1639 1.5064 2.4654 3.9733 5.3305" Properties=species:S:1:pos:R:3 pbc="T T T"
Ir 0.0741 5.0366 4.4305
Ir 0.3379 3.1319 1.0120
P -1.2450 7.1605 -1.6944
P -0.6263 2.4953 -0.9727
P -0.8900 4.4000 2.4457
P -1.5087 9.0652 1.7240
Se -2.6941 5.4685 -1.0224
Se 0.0350 7.5371 0.8896
```